VASP calculation (PBE with a Hubbard U) on MnRuIO2 after structural relaxation.

Summary:
ρ = 5.38 Mg/m³
energy above the most stable polymorph in this dataset = 271 meV per atom
total magnetic moment = 1.021 μB per atom

Structure (extended XYZ):
```
5
Lattice="3.7829 0.0000 0.0000 0.0000 3.7829 0.0000 0.0000 0.0000 6.7954" Properties=species:S:1:pos:R:3 pbc="T T T"
Mn 0.0000 0.0000 0.0000
Ru 1.8914 1.8914 3.3977
I 0.0000 0.0000 3.3977
O 0.0000 1.8914 0.0000
O 1.8914 0.0000 0.0000
```